Record 1
An optimized crystal structure of TiAgHRh2. Source: Alexandria via LeMat-Bulk, functional PBE-GGA.

Final energy, eV/atom: -6.05

Cell lengths 4.0067, 4.0067, 3.9135 Å; angles 90.00, 90.00, 90.00 degrees
Closest atoms and distances in Å follow each position.
Fractional coordinates of all 5 atoms:
Rh: 0.0000 0.5000 0.0000  2 H 2.00
Rh: 0.5000 0.0000 0.0000  2 H 2.00
H: 0.0000 0.0000 0.0000  2 Ti 1.96, 4 Rh 2.00
Ti: 0.0000 0.0000 0.5000  2 H 1.96
Ag: 0.5000 0.5000 0.5000  8 Rh 2.80, 4 Ti 2.83

=====

Record 2
An optimized crystal structure of TlAg2HRh. Source: Alexandria via LeMat-Bulk, functional PBE-GGA.

Final energy, eV/atom: -3.62

Cell lengths 4.5185, 4.5185, 3.7116 Å; angles 90.00, 90.00, 90.00 degrees
Closest atoms and distances in Å follow each position.
Fractional coordinates of all 5 atoms:
H: 0.0000 0.0000 0.0000  2 Rh 1.86
Rh: 0.0000 0.0000 0.5000  2 H 1.86
Tl: 0.5000 0.5000 0.5000  8 Ag 2.92, 4 Rh 3.20
Ag: 0.5000 0.0000 0.0000  2 H 2.26
Ag: 0.0000 0.5000 0.0000  2 H 2.26

=====

Record 3
An optimized crystal structure of TlAgHRh2. Source: Alexandria via LeMat-Bulk, functional PBE-GGA.

Final energy, eV/atom: -4.56

Cell lengths 4.1366, 4.1366, 4.0865 Å; angles 90.00, 90.00, 90.00 degrees
Closest atoms and distances in Å follow each position.
Fractional coordinates of all 5 atoms:
Ag: 0.0000 0.0000 0.5000  2 H 2.04
Rh: 0.0000 0.5000 0.0000  2 H 2.07
Rh: 0.5000 0.0000 0.0000  2 H 2.07
Tl: 0.5000 0.5000 0.5000  8 Rh 2.91, 4 Ag 2.92
H: 0.0000 0.0000 0.0000  2 Ag 2.04, 4 Rh 2.07

=====

Record 4
An optimized crystal structure of Tl2AgH6Rh. Source: Alexandria via LeMat-Bulk, functional PBE-GGA.

Final energy, eV/atom: -3.37

Cell lengths 5.1790, 5.1790, 5.9214 Å; angles 115.92, 115.92, 90.00 degrees
Closest atoms and distances in Å follow each position.
Fractional coordinates of all 10 atoms:
Rh: 0.9999 0.0004 0.9998  6 H 1.69-1.72
H: 0.2351 0.7652 0.9998  1 Rh 1.72
H: 0.7647 0.7652 0.9998  1 Rh 1.72
H: 0.2351 0.2356 0.9998  1 Rh 1.72
H: 0.1810 0.1815 0.3620  1 Rh 1.69
H: 0.8188 0.8193 0.6377  1 Rh 1.69
H: 0.7647 0.2356 0.9998  1 Rh 1.72
Tl: 0.2499 0.7504 0.4997  12 H 2.67-2.96
Tl: 0.7499 0.2504 0.4997  12 H 2.67-2.96
Ag: 0.4999 0.5004 0.9998  4 H 1.94

=====

Record 5
An optimized crystal structure of TlAgH6Rh. Source: Alexandria via LeMat-Bulk, functional PBE-GGA.

Final energy, eV/atom: -3.55

Cell lengths 5.6510, 4.7521, 5.5474 Å; angles 111.77, 89.09, 56.71 degrees
Closest atoms and distances in Å follow each position.
Fractional coordinates of all 9 atoms:
Tl: 0.9205 0.1356 0.9361  2 H 2.54-2.78, 1 Rh 2.80
Rh: 0.3058 0.3704 0.5629  6 H 1.62-1.75
H: 0.0814 0.2408 0.5059  1 Rh 1.68
H: 0.5589 0.4251 0.6853  1 Rh 1.70
H: 0.3336 0.2381 0.7986  1 Rh 1.62
H: 0.5667 0.9243 0.3315  1 Rh 1.67
H: 0.1969 0.5066 0.3107  1 H 0.89
H: 0.3433 0.5258 0.3345  1 H 0.89
Ag: 0.6926 0.6333 0.5345  3 H 1.90-1.95

=====

Record 6
An optimized crystal structure of VAgH2Rh. Source: Alexandria via LeMat-Bulk, functional PBE-GGA.

Final energy, eV/atom: -4.39

Cell lengths 3.5400, 5.1244, 3.5400 Å; angles 90.00, 90.00, 90.00 degrees
Closest atoms and distances in Å follow each position.
Fractional coordinates of all 5 atoms:
Rh: 0.0000 0.0000 0.0000  4 H 1.77
Ag: 0.0000 0.5000 0.0000  4 V 2.50, 2 Rh 2.56
H: 0.5000 0.0000 0.0000  2 Rh 1.77
H: 0.0000 0.0000 0.5000  2 Rh 1.77
V: 0.5000 0.5000 0.5000  4 Ag 2.50

=====

Record 7
An optimized crystal structure of YAgHRh2. Source: Alexandria via LeMat-Bulk, functional PBE-GGA.

Energy above the lowest structure with this stoichiometry, eV per formula unit: 0.00
Final energy, eV/atom: -5.85

Cell lengths 4.1993, 4.1993, 4.0915 Å; angles 90.00, 90.00, 90.00 degrees
Closest atoms and distances in Å follow each position.
Fractional coordinates of all 5 atoms:
H: 0.0000 0.0000 0.0000  2 Ag 2.05, 4 Rh 2.10
Y: 0.5000 0.5000 0.5000  8 Rh 2.93, 4 Ag 2.97
Rh: 0.0000 0.5000 0.0000  2 H 2.10
Rh: 0.5000 0.0000 0.0000  2 H 2.10
Ag: 0.0000 0.0000 0.5000  2 H 2.05

=====

Record 8
An optimized crystal structure of YAgHRh2. Source: Alexandria via LeMat-Bulk, functional PBE-GGA.

Energy above the lowest structure with this stoichiometry, eV per formula unit: 0.03
Final energy, eV/atom: -5.84

Cell lengths 4.1015, 4.1015, 4.3244 Å; angles 90.00, 90.00, 90.00 degrees
Closest atoms and distances in Å follow each position.
Fractional coordinates of all 5 atoms:
H: 0.0000 0.0000 0.0000  4 Rh 2.05, 2 Y 2.16
Rh: 0.5000 0.0000 0.0000  2 H 2.05
Rh: 0.0000 0.5000 0.0000  2 H 2.05
Ag: 0.5000 0.5000 0.5000  4 Y 2.90, 8 Rh 2.98
Y: 0.0000 0.0000 0.5000  2 H 2.16